{
  "formula": "CoGeTeO",
  "functional": "GGA+U",
  "state": "optimized geometry",
  "lattice": [[7.6258, 0.0000, 0.0000], [0.0000, 7.5245, 0.0000], [0.0000, 0.0000, 5.9480]],
  "species": ["Co", "Co", "Co", "Co", "Ge", "Ge", "Ge", "Ge", "Te", "Te", "Te", "Te", "O", "O", "O", "O"],
  "frac_coords": [[0.1047, 0.1724, 0.0000], [0.3953, 0.1724, 0.5000], [0.6047, 0.8276, 0.0000], [0.8953, 0.8276, 0.5000], [0.1230, 0.5699, 0.8568], [0.3770, 0.5699, 0.3568], [0.6230, 0.4301, 0.8568], [0.8770, 0.4301, 0.3568], [0.0519, 0.1413, 0.5667], [0.4481, 0.1413, 0.0667], [0.5519, 0.8587, 0.5667], [0.9481, 0.8587, 0.0667], [0.0199, 0.4069, 0.0806], [0.4801, 0.4069, 0.5806], [0.5199, 0.5931, 0.0806], [0.9801, 0.5931, 0.5806]],
  "polymorph_energy_mev_per_atom": 62,
  "magnetic_moment_mub_per_fu": 3.0,
  "space_group": "Pca2_1, No. 29"
}